[1]
# Ho2ThAs3

An optimized crystal structure of Ho2ThAs3 (PBE, Alexandria).

a b c (Å): 4.1623 5.8985 7.1798
angles (deg): 114.25 106.86 90.00
Sites, in units of the cell vectors:
Ho  0.8340  0.3341  0.6683
Th  0.5000  0.0000  0.0000
As  0.1711  0.1711  0.3422
As  0.5000  0.5000  0.0000
As  0.8289  0.8289  0.6578
Ho  0.1660  0.6659  0.3317

## Properties
As for the total energy: -6.58 eV per atom. Its space group is Immm (71).

[2]
# HoTh4As5

An optimized crystal structure of HoTh4As5 (PBE, Alexandria).

a b c (Å): 5.9842 7.3183 7.3183
angles (deg): 80.38 65.87 65.87
Sites, in units of the cell vectors:
Th  0.4020  0.3994  0.7986
As  0.0998  0.6067  0.1957
As  0.7065  0.1957  0.3933
As  0.9021  0.3933  0.8043
Th  0.2006  0.2014  0.3994
As  0.5012  0.0000  0.0000
Th  0.6000  0.6006  0.2014
Th  0.8014  0.7986  0.6006
As  0.2955  0.8043  0.6067
Ho  0.0012  0.0000  0.0000

## Properties
As for the total energy: -7.17 eV per atom. Its space group is I4/m (87).

[3]
# HoTh4As6

An optimized crystal structure of HoTh4As6 (PBE, Alexandria).

a b c (Å): 8.2779 8.2779 8.2779
angles (deg): 90.27 90.27 89.73
Sites, in units of the cell vectors:
As  0.8216  0.5831  0.5638
Th  0.2500  0.6338  0.1338
Th  0.1338  0.7500  0.6338
As  0.4362  0.8216  0.4169
As  0.1784  0.4169  0.4362
Th  0.6338  0.8662  0.7500
Th  0.3662  0.1338  0.2500
Th  0.7500  0.3662  0.8662
As  0.0638  0.9169  0.3216
Ho  0.0000  0.0000  0.0000
As  0.5831  0.4362  0.1784
Ho  0.5000  0.5000  0.5000
As  0.9169  0.6784  0.9362
As  0.6784  0.0638  0.0831
As  0.9362  0.0831  0.6784
As  0.5638  0.1784  0.5831
As  0.3216  0.9362  0.9169
Th  0.7500  0.7500  0.2500
As  0.4169  0.5638  0.8216
Th  0.2500  0.2500  0.7500
As  0.0831  0.3216  0.0638
Th  0.8662  0.2500  0.3662

## Properties
As for the total energy: -6.88 eV per atom. Its space group is R-3c (167).

[4]
# Ho2ThAs

An optimized crystal structure of Ho2ThAs (PBE, Alexandria).

a b c (Å): 3.8090 3.8090 9.4818
angles (deg): 78.41 78.41 60.00
Sites, in units of the cell vectors:
Ho  0.2701  0.2701  0.1897
Ho  0.7299  0.7299  0.8103
Th  0.5000  0.5000  0.5000
As  0.0000  0.0000  0.0000

## Properties
As for the total energy: -5.88 eV per atom. Its space group is R-3m (166).

[5]
# HoTmTh2As4

An optimized crystal structure of HoTmTh2As4 (PBE, Alexandria).

a b c (Å): 4.1834 7.1799 7.2459
angles (deg): 70.29 90.00 90.00
Sites, in units of the cell vectors:
Ho  0.5000  0.5000  0.0000
Th  0.0000  0.0000  0.0000
Tm  0.0000  0.5000  0.5000
As  0.0000  0.7395  0.7525
As  0.5000  0.7388  0.2549
Th  0.5000  0.0000  0.5000
As  0.0000  0.2605  0.2475
As  0.5000  0.2612  0.7451

## Properties
As for the total energy: -6.76 eV per atom. Its space group is P2/m (10).

[6]
# Ho2TmThAs4

An optimized crystal structure of Ho2TmThAs4 (PBE, Alexandria).

a b c (Å): 4.1411 7.1563 7.1494
angles (deg): 70.52 90.00 90.00
Sites, in units of the cell vectors:
As  0.5000  0.7510  0.2543
Th  0.5000  0.5000  0.0000
Tm  0.0000  0.5000  0.5000
As  0.0000  0.2444  0.2572
As  0.5000  0.2490  0.7457
Ho  0.0000  0.0000  0.0000
Ho  0.5000  0.0000  0.5000
As  0.0000  0.7556  0.7428

## Properties
As for the total energy: -6.45 eV per atom. Its space group is P2/m (10).

[7]
# HoTm2ThAs4

An optimized crystal structure of HoTm2ThAs4 (PBE, Alexandria).

a b c (Å): 4.1320 7.1306 7.1384
angles (deg): 70.51 90.00 90.00
Sites, in units of the cell vectors:
Th  0.5000  0.5000  0.0000
Ho  0.0000  0.5000  0.5000
As  0.0000  0.2412  0.2573
As  0.5000  0.2448  0.7482
Tm  0.0000  0.0000  0.0000
Tm  0.5000  0.0000  0.5000
As  0.0000  0.7588  0.7427
As  0.5000  0.7552  0.2518

## Properties
As for the total energy: -6.43 eV per atom. Its space group is P2/m (10).

[8]
# Ho2ThUAs4

An optimized crystal structure of Ho2ThUAs4 (PBE, Alexandria).

a b c (Å): 4.1353 7.1576 7.1859
angles (deg): 109.39 90.00 90.00
Last column: magnetic moment on the atom in μB.
Sites, in units of the cell vectors:
As  0.5000  0.7542  0.7467  -0.03
As  0.5000  0.2458  0.2533  -0.03
Ho  0.5000  0.0000  0.5000  0.01
Th  0.5000  0.5000  0.0000  0.06
U  0.0000  0.0000  0.0000  2.36
Ho  0.0000  0.5000  0.5000  0.03
As  0.0000  0.7577  0.2563  -0.02
As  0.0000  0.2423  0.7437  -0.02

## Properties
As for the total energy: -7.09 eV per atom. Its space group is P2/m (10).

| no. | formation energy from the elements (kJ per mole of atoms) |
| --- | --- |
| 1 | -143.7 |
| 2 | -136.6 |
| 3 | -118.2 |
| 4 | -55.5 |
| 5 | -140.2 |
| 6 | -144.5 |
| 7 | -144.0 |
| 8 | -124.2 |